Entry A
This record from the Alexandria database describes crystalline SiN2F6 at its relaxed geometry. The functional is PBEsol.

```
SiN2F6
1.0
4.800 0.000 0.000
0.000 4.886 0.000
0.000 -2.443 4.232
F N Si
6 2 1
Direct
0.210 0.161 0.839 F
0.790 0.323 0.161 F
0.210 0.677 0.839 F
0.790 0.839 0.677 F
0.790 0.839 0.161 F
0.210 0.161 0.323 F
0.755 0.333 0.667 N
0.245 0.667 0.333 N
0.000 0.000 0.000 Si
```

Calculated values
- DOS at the Fermi energy: 2.9 states/eV/cell

Entry B
This record from the Alexandria database describes crystalline SiN2F6 at its relaxed geometry. The functional is PBEsol.

```
SiN2F6
1.0
-3.363 -3.341 -1.951
0.916 -2.206 -4.536
1.180 -4.983 -0.235
F N Si
6 2 1
Direct
0.766 0.234 0.234 F
0.234 0.234 0.766 F
0.234 0.766 0.234 F
0.234 0.766 0.766 F
0.766 0.234 0.766 F
0.766 0.766 0.234 F
0.250 0.250 0.250 N
0.750 0.750 0.750 N
0.000 0.000 0.000 Si
```

Calculated values
- DOS at the Fermi energy: 8.8 states/eV/cell

Last place for stability: entry B

Entry A
This record from the Alexandria database describes crystalline ZnN2F2 at its relaxed geometry. The functional is PBEsol.

```
ZnN2F2
1.0
3.792 0.000 0.000
0.000 3.971 0.000
0.000 0.000 3.971
F N Zn
2 2 1
Direct
0.500 0.500 0.500 F
0.500 0.000 0.000 F
0.000 0.500 0.000 N
0.000 0.000 0.500 N
0.000 0.000 0.000 Zn
```

Calculated values
- DOS at the Fermi energy: 5.7 states/eV/cell

Entry B
This record from the Alexandria database describes crystalline ZnN2F2 at its relaxed geometry. The functional is PBEsol.

```
ZnN2F2
1.0
-2.527 -1.853 2.611
0.398 -1.986 -3.541
3.853 0.164 1.329
N Zn F
2 1 2
Direct
0.000 0.392 0.392 N
0.000 0.608 0.608 N
0.000 0.000 0.000 Zn
0.500 0.750 0.250 F
0.500 0.250 0.750 F
```

Calculated values
- DOS at the Fermi energy: 0.0 states/eV/cell

Entry C
This record from the Alexandria database describes crystalline ZnN2F2 at its relaxed geometry. The functional is PBEsol.

```
ZnN2F2
1.0
4.001 0.000 0.000
0.000 4.001 0.000
0.000 0.000 3.974
Zn N F
1 2 2
Direct
0.000 0.000 0.000 Zn
0.500 0.500 0.500 N
0.000 0.000 0.500 N
0.500 0.000 0.000 F
0.000 0.500 0.000 F
```

Calculated values
- DOS at the Fermi energy: 4.7 states/eV/cell

Last place for stability: entry A

Entry A
This record from the Alexandria database describes crystalline Na3TiF6 at its relaxed geometry. The functional is PBEsol.

```
Na3TiF6
1.0
5.807 0.000 0.000
2.903 5.029 0.000
2.903 1.676 4.741
F Ti Na
6 1 3
Direct
0.762 0.762 0.238 F
0.762 0.238 0.762 F
0.238 0.238 0.762 F
0.762 0.238 0.238 F
0.238 0.762 0.238 F
0.238 0.762 0.762 F
0.000 0.000 0.000 Ti
0.500 0.500 0.500 Na
0.750 0.750 0.750 Na
0.250 0.250 0.250 Na
```

Calculated values
- DOS at the Fermi energy: 8.4 states/eV/cell

Entry B
This record from the Alexandria database describes crystalline Na3TiF6 at its relaxed geometry. The functional is PBEsol.

```
Na3TiF6
1.0
5.525 0.000 -0.001
0.000 5.758 0.000
-0.106 0.000 7.987
Na F Ti
6 12 2
Direct
0.018 0.559 0.742 Na
0.518 0.941 0.242 Na
0.482 0.059 0.758 Na
0.500 0.500 0.000 Na
0.000 0.000 0.500 Na
0.982 0.441 0.258 Na
0.293 0.821 0.946 F
0.124 0.062 0.229 F
0.170 0.281 0.923 F
0.376 0.562 0.271 F
0.207 0.321 0.554 F
0.330 0.781 0.577 F
0.830 0.719 0.077 F
0.624 0.438 0.729 F
0.707 0.179 0.054 F
0.670 0.219 0.423 F
0.793 0.679 0.446 F
0.876 0.938 0.771 F
0.500 0.500 0.500 Ti
0.000 0.000 0.000 Ti
```

Calculated values
- DOS at the Fermi energy: 16.4 states/eV/cell

Last place for stability: entry A

Entry A
This record from the Alexandria database describes crystalline NbSeOF2 at its relaxed geometry. The functional is PBEsol.

```
NbSeOF2
1.0
-1.712 -2.066 -2.659
4.010 -0.977 -1.822
0.309 -3.649 2.636
Se F O Nb
1 2 1 1
Direct
0.000 0.000 0.000 Se
0.000 0.500 0.000 F
0.000 0.000 0.500 F
0.500 0.000 0.000 O
0.500 0.500 0.500 Nb
```

Calculated values
- DOS at the Fermi energy: 8.2 states/eV/cell

Entry B
This record from the Alexandria database describes crystalline NbSeOF2 at its relaxed geometry. The functional is PBEsol.

```
NbSeOF2
1.0
3.930 0.000 0.000
0.000 4.237 0.000
0.000 0.000 4.237
F Se O Nb
2 1 1 1
Direct
0.000 0.000 0.500 F
0.000 0.500 0.000 F
0.500 0.500 0.500 Se
0.500 0.000 0.000 O
0.000 0.000 0.000 Nb
```

Calculated values
- DOS at the Fermi energy: 3.4 states/eV/cell

Last place for stability: entry A

Entry A
This record from the Alexandria database describes crystalline NbPF2 at its relaxed geometry. The functional is PBEsol.

```
NbPF2
1.0
3.613 0.000 0.000
0.000 3.613 0.000
-1.807 -1.807 7.780
P F Nb
2 4 2
Direct
0.500 0.500 0.000 P
0.750 0.250 0.500 P
0.625 0.678 0.750 F
0.125 0.072 0.750 F
0.322 0.875 0.250 F
0.928 0.375 0.250 F
0.250 0.750 0.500 Nb
0.000 0.000 0.000 Nb
```

Calculated values
- DOS at the Fermi energy: 5.9 states/eV/cell

Entry B
This record from the Alexandria database describes crystalline NbPF2 at its relaxed geometry. The functional is PBEsol.

```
NbPF2
1.0
4.062 0.000 0.000
2.031 3.518 0.000
2.031 1.173 3.317
Nb F P
1 2 1
Direct
0.500 0.500 0.500 Nb
0.250 0.250 0.250 F
0.750 0.750 0.750 F
0.000 0.000 0.000 P
```

Calculated values
- DOS at the Fermi energy: 1.0 states/eV/cell

Last place for stability: entry B

Entry A
This record from the Alexandria database describes crystalline TlNiOF2 at its relaxed geometry. The functional is PBEsol.

```
TlNiOF2
1.0
4.202 0.000 0.000
0.000 4.202 0.000
0.000 0.000 3.590
Tl O Ni F
1 1 1 2
Direct
0.500 0.500 0.500 Tl
0.000 0.000 0.500 O
0.000 0.000 0.000 Ni
0.000 0.500 0.000 F
0.500 0.000 0.000 F
```

Calculated values
- DOS at the Fermi energy: 2.8 states/eV/cell

Entry B
This record from the Alexandria database describes crystalline TlNiOF2 at its relaxed geometry. The functional is PBEsol.

```
TlNiOF2
1.0
4.130 0.000 0.000
0.000 4.398 0.000
0.000 0.000 4.398
F Ni Tl O
2 1 1 1
Direct
0.000 0.500 0.000 F
0.000 0.000 0.500 F
0.500 0.500 0.500 Ni
0.000 0.000 0.000 Tl
0.500 0.000 0.000 O
```

Calculated values
- DOS at the Fermi energy: 5.4 states/eV/cell

Last place for stability: entry B